# Pa2MnTlO8

An optimized crystal structure of Pa2MnTlO8 (PBE+U, Alexandria).

a b c (Å): 4.9004 4.8986 7.1929
angles (deg): 92.22 87.77 90.94
Last column: magnetic moment on the atom in μB.
Sites, in units of the cell vectors:
O  0.7929  0.2062  0.7504  0.02
Tl  0.0000  0.0000  0.5000  0.01
O  0.2071  0.7938  0.2496  0.02
O  0.7038  0.7034  0.0001  -0.03
Pa  0.4949  0.5054  0.7559  0.02
Pa  0.5051  0.4946  0.2441  0.02
O  0.8115  0.1884  0.2156  -0.05
O  0.1885  0.8116  0.7844  -0.05
Mn  0.0000  0.0000  0.0000  3.94
O  0.2962  0.2966  0.9999  -0.03
O  0.3163  0.3170  0.5001  0.00
O  0.6837  0.6830  0.4999  0.00

## Properties
For the uncorrected energy, the calculation gives -0.30150 Ha/atom. For the total moment, the calculation gives 3.98 μB/cell.